Record 1
A geometry-optimized Nb2S structure. Source: OQMD via LeMat-Bulk, functional PBE.

Output
The space-group type is P4_2/mnm, No. 136. The crystal system is tetragonal.

```
Nb2S
1.0
-0.755 -1.649 5.312
-2.607 -4.631 -1.808
3.050 -1.682 -0.089
S Nb
2 4
direct
0.500 0.500 0.500
0.000 0.000 0.000
0.796 0.204 0.500
0.296 0.296 0.000
0.204 0.796 0.500
0.704 0.704 0.000
```

=====

Record 2
A geometry-optimized BeB4Au structure. Source: OQMD via LeMat-Bulk, functional PBE.

Output
The calculation puts the energy above the most stable polymorph in this dataset at 0 meV/atom. The space-group type is P6/mmm, No. 191. The crystal system is hexagonal.

```
BeB4Au
1.0
2.974 0.000 0.000
-1.487 2.575 0.000
0.000 0.000 7.035
B Au Be
4 1 1
direct
0.333 0.667 0.185
0.333 0.667 0.815
0.667 0.333 0.815
0.667 0.333 0.185
0.000 0.000 0.500
0.000 0.000 0.000
```

=====

Record 3
A geometry-optimized TbYHg structure. Source: OQMD via LeMat-Bulk, functional PBE.

Output
The formation energy comes out at -0.379 eV/atom. The calculation puts the energy above the most stable polymorph in this dataset at 0 meV/atom. The space-group type is Pnma, No. 62. The crystal system is orthorhombic.

```
TbYHg
1.0
-6.555 -2.090 -1.633
1.852 -4.444 -1.748
-0.918 -3.688 8.405
Hg Y Tb
4 4 4
direct
0.738 0.250 0.600
0.762 0.750 0.100
0.238 0.250 0.900
0.262 0.750 0.400
0.985 0.750 0.805
0.015 0.250 0.195
0.485 0.750 0.695
0.515 0.250 0.305
0.171 0.250 0.576
0.671 0.250 0.924
0.329 0.750 0.076
0.829 0.750 0.424
```

=====

Record 4
A geometry-optimized PmTmB structure. Source: OQMD via LeMat-Bulk, functional PBE.

Output
The calculation puts the energy above the most stable polymorph in this dataset at 0 meV/atom. The space-group type is F-43m, No. 216. The crystal system is cubic.

```
PmTmB
1.0
0.000 3.222 3.222
3.222 0.000 3.222
3.222 3.222 0.000
B Pm Tm
1 1 1
direct
0.000 0.000 0.000
0.250 0.250 0.250
0.750 0.750 0.750
```

=====

Calculated uncorrected energy, -8.30; -5.28; -4.18; -5.18 eV/atom (same order as the records).